1.
Zr5TiGa3: relaxed, GGA-PBE.

abc: 8.387 8.387 5.798
angles: 90.00 90.00 120.00
Positions (direct):
1 Zr 0.000 0.324 0.250
2 Zr 0.000 0.676 0.750
3 Zr 0.324 0.000 0.250
4 Zr 0.324 0.324 0.750
5 Zr 0.333 0.667 0.000
6 Zr 0.333 0.667 0.500
7 Zr 0.667 0.333 0.000
8 Zr 0.667 0.333 0.500
9 Zr 0.676 0.000 0.750
10 Zr 0.676 0.676 0.250
11 Ti 0.000 0.000 0.000
12 Ti 0.000 0.000 0.500
13 Ga 0.000 0.338 0.750
14 Ga 0.000 0.662 0.250
15 Ga 0.338 0.000 0.750
16 Ga 0.338 0.338 0.250
17 Ga 0.662 0.000 0.250
18 Ga 0.662 0.662 0.750

Computed properties:
As for the magnetization: 1.77 Bohr magnetons per cell. The density of states at the Fermi level comes out at 17.92 states/eV per cell.

=====

2.
ZrTi5Ga6: relaxed, GGA-PBE.

abc: 8.159 8.159 8.159
angles: 145.51 139.54 54.19
Positions (direct):
1 Zr 0.000 0.000 0.000
2 Ti 0.163 0.663 0.500
3 Ti 0.335 0.335 0.000
4 Ti 0.500 0.000 0.500
5 Ti 0.665 0.665 0.000
6 Ti 0.837 0.337 0.500
7 Ga 0.084 0.828 0.256
8 Ga 0.263 0.500 0.763
9 Ga 0.427 0.172 0.256
10 Ga 0.573 0.828 0.744
11 Ga 0.737 0.500 0.237
12 Ga 0.916 0.172 0.744

Computed properties:
The energy relative to the lowest polymorph listed for this composition comes out at 0.000 eV per atom. As for the magnetization: 0.00 Bohr magnetons per cell. The density of states at the Fermi level comes out at 12.84 states/eV per cell.

=====

3.
ZrTiGa2: relaxed, GGA-PBE.

abc: 2.942 3.959 5.957
angles: 90.00 90.00 90.00
Positions (direct):
1 Zr 0.000 0.000 0.000
2 Ti 0.000 0.000 0.500
3 Ga 0.500 0.500 0.271
4 Ga 0.500 0.500 0.729

Computed properties:
The energy relative to the lowest polymorph listed for this composition comes out at 0.005 eV per atom. As for the magnetization: 0.00 Bohr magnetons per cell. The density of states at the Fermi level comes out at 3.87 states/eV per cell.

=====

4.
Zr2TiGa3: relaxed, GGA-PBE.

abc: 4.997 14.942 2.907
angles: 90.00 90.00 90.00
Positions (direct):
1 Zr 0.000 0.169 0.000
2 Zr 0.000 0.831 0.000
3 Zr 0.500 0.331 0.000
4 Zr 0.500 0.669 0.000
5 Ti 0.000 0.500 0.000
6 Ti 0.500 0.000 0.000
7 Ga 0.000 0.000 0.500
8 Ga 0.000 0.341 0.500
9 Ga 0.000 0.659 0.500
10 Ga 0.500 0.159 0.500
11 Ga 0.500 0.500 0.500
12 Ga 0.500 0.841 0.500

Computed properties:
As for the magnetization: 0.00 Bohr magnetons per cell. The density of states at the Fermi level comes out at 8.03 states/eV per cell.

=====

no.,calculated formation energy (eV/atom)
1,-0.416
2,-0.358
3,-0.481
4,-0.400